K2Ag2O3 | Alexandria | PBE | relaxed; M_tot = 0.66 μB/f.u.; distance to the lowest polymorph of the same formula = 60 meV per atom; symmetry = I2_13, No. 199; formation energy from raw total energies = -0.492 eV/atom
1.0
-4.356 4.356 4.356
4.356 -4.356 4.356
4.356 4.356 -4.356
K Ag O
4 4 6
Cartesian
4.484 -0.128 0.128
0.128 4.484 -0.128
-0.128 0.128 4.484
4.228 4.228 4.228
2.605 1.751 -1.751
1.751 -1.751 2.605
1.751 1.751 1.751
-1.751 2.605 1.751
6.534 1.527 0.000
2.829 0.000 2.178
2.178 2.829 0.000
0.000 2.178 2.829
1.527 0.000 6.534
0.000 6.534 1.527

=====

CaCr2Rh | Alexandria | PBE | relaxed; formation energy from the elements = 78 kJ/mol of atoms; M_tot = 0.00 μB/f.u.; distance to the lowest polymorph of the same formula = 580 meV per atom; symmetry = Fm-3m, No. 225
1.0
0.000 3.107 3.107
3.107 0.000 3.107
3.107 3.107 0.000
Ca Cr Rh
1 2 1
Cartesian
0.000 0.000 0.000
1.554 1.554 1.554
4.661 4.661 4.661
3.107 3.107 3.107

=====

ZnInAs2 | Alexandria | PBE | relaxed; formation energy from the elements = 17 kJ/mol of atoms; M_tot = 0.00 μB/f.u.; symmetry = P4mm, No. 99
1.0
3.479 0.000 0.000
0.000 3.479 0.000
0.000 0.000 7.272
Zn In As
1 1 2
Cartesian
0.000 0.000 0.000
1.739 1.739 5.456
0.000 0.000 2.846
1.739 1.739 1.749

=====

Th7Fe2Pb2 | Alexandria | PBE | relaxed; formation energy from the elements = -13 kJ/mol of atoms; M_tot = 0.00 μB/f.u.; symmetry = Imm2, No. 44
1.0
-1.831 8.337 5.113
1.831 -8.337 5.113
1.831 8.337 -5.113
Th Fe Pb
7 2 2
Cartesian
0.000 0.000 0.000
1.831 2.966 -1.427
1.831 -2.677 2.243
1.831 2.677 2.243
1.831 5.891 0.523
0.000 5.371 3.686
0.000 2.446 5.637
0.000 3.751 0.451
0.000 12.923 0.451
0.000 0.000 3.348
0.000 8.337 2.164

=====

KZnCu2Bi | Alexandria | PBE | relaxed; formation energy from the elements = 47 kJ/mol of atoms; M_tot = 0.00 μB/f.u.; symmetry = P4/mmm, No. 123
1.0
5.067 0.000 0.000
0.000 5.067 0.000
0.000 0.000 6.855
K Zn Cu Bi
1 1 2 1
Cartesian
0.000 0.000 0.000
2.534 2.534 0.000
0.000 2.534 3.428
2.534 0.000 3.428
0.000 0.000 3.428

=====

Nd2SnO2 | Alexandria | PBE | relaxed; M_tot = 0.00 μB/f.u.; symmetry = I4/mmm, No. 139; formation energy from raw total energies = -2.443 eV/atom
1.0
-1.986 1.986 7.245
1.986 -1.986 7.245
1.986 1.986 -7.245
Nd Sn O
2 1 2
Cartesian
0.000 0.000 2.416
0.000 0.000 12.074
0.000 0.000 7.245
1.986 0.000 3.622
0.000 1.986 3.622

=====

ScRu4 | Alexandria | PBE | relaxed; formation energy from the elements = 175 kJ/mol of atoms; M_tot = 2.19 μB/f.u.; distance to the lowest polymorph of the same formula = 1718 meV per atom; symmetry = Pm-3m, No. 221
1.0
4.507 0.000 0.000
0.000 4.507 0.000
0.000 0.000 4.507
Sc Ru
1 4
Cartesian
0.000 0.000 0.000
0.000 0.000 2.253
0.000 2.253 0.000
2.253 0.000 0.000
2.253 2.253 2.253

=====

ScTa2Pb | Alexandria | PBE | relaxed; formation energy from the elements = 16 kJ/mol of atoms; M_tot = 0.00 μB/f.u.; symmetry = Cmm2, No. 35
1.0
1.853 -2.485 0.000
1.853 2.485 0.000
0.000 0.000 9.236
Sc Ta Pb
1 2 1
Cartesian
0.000 0.000 0.000
0.000 0.000 4.935
1.853 0.000 6.999
1.853 0.000 2.571

=====

| no. | mass density (g cm⁻³) |
| --- | --- |
| 1 | 3.4 |
| 2 | 6.8 |
| 3 | 6.2 |
| 4 | 11.4 |
| 5 | 4.2 |
| 6 | 6.4 |
| 7 | 8.1 |
| 8 | 12.0 |